[1]
VASP calculation (PBE) on a relaxed KAl2Cu crystal.

Unit cell a=5.789 b=10.746 c=2.745 alpha=90.00 beta=90.00 gamma=90.00
Space group Cmmm (No. 65)
Symmetry-distinct sites (fractional):
K 0.000 0.000 0.000 [2 per cell]
Al 0.250 0.250 0.500 [4 per cell]
Cu 0.000 0.500 0.000 [2 per cell]

Calculated values
The uncorrected energy comes out at -2.6258 eV/atom. The energy above the most stable polymorph in this dataset is 540 meV/atom.

***

[2]
VASP calculation (PBE) on a relaxed KAlCu2 crystal.

Unit cell a=4.295 b=4.299 c=6.482 alpha=72.13 beta=71.14 gamma=60.05
Space group P-1 (No. 2)
Symmetry-distinct sites (fractional):
K 0.000 0.000 0.000 [1 per cell]
Al 0.500 0.500 0.500 [1 per cell]
Cu 0.175 0.174 0.474 [2 per cell]

Calculated values
The uncorrected energy comes out at -3.2690 eV/atom.

***

[3]
VASP calculation (PBE) on a relaxed KAlCu2 crystal.

Unit cell a=5.014 b=5.014 c=16.626 alpha=90.00 beta=90.00 gamma=90.00
Space group I4_1/amd (No. 141, origin choice 2)
Symmetry-distinct sites (fractional):
K 0.000 0.250 0.375 [4 per cell]
Al 0.000 0.250 0.875 [4 per cell]
Cu 0.000 0.000 0.000 [8 per cell]

Calculated values
The uncorrected energy comes out at -2.9681 eV/atom.

***

[4]
VASP calculation (PBE) on a relaxed KAl2Cu crystal.

Unit cell a=4.3329 b=4.3329 c=19.1020 alpha=90.00 beta=90.00 gamma=120.00
Space group R3m (No. 160, hexagonal axes)
Symmetry-distinct sites (fractional):
K 0.0000 0.0000 0.0000 [3 per cell]
Al 0.0000 0.0000 0.5216 [3 per cell]
Al 0.0000 0.0000 0.8121 [3 per cell]
Cu 0.0000 0.0000 0.1755 [3 per cell]

Calculated values
The uncorrected energy comes out at -3.1660 eV/atom. The energy above the most stable polymorph in this dataset is 0 meV/atom.

***

[5]
VASP calculation (PBE) on a relaxed KAl2Cu2 crystal.

Unit cell a=4.213 b=4.213 c=11.604 alpha=90.00 beta=90.00 gamma=90.00
Space group I4/mmm (No. 139)
Symmetry-distinct sites (fractional):
K 0.000 0.000 0.000 [2 per cell]
Al 0.000 0.500 0.250 [4 per cell]
Cu 0.000 0.000 0.369 [4 per cell]

Calculated values
The uncorrected energy comes out at -3.2374 eV/atom. The energy above the most stable polymorph in this dataset is 56 meV/atom.

***

[6]
VASP calculation (PBE) on a relaxed KAl2Cu crystal.

Unit cell a=6.827 b=6.827 c=6.827 alpha=90.00 beta=90.00 gamma=90.00
Space group Fm-3m (No. 225)
Symmetry-distinct sites (fractional):
K 0.000 0.000 0.000 [4 per cell]
Al 0.250 0.250 0.250 [8 per cell]
Cu 0.000 0.000 0.500 [4 per cell]

Calculated values
The uncorrected energy comes out at -2.6424 eV/atom. The energy above the most stable polymorph in this dataset is 524 meV/atom.

***

[7]
VASP calculation (PBE) on a relaxed KAl2Cu crystal.

Unit cell a=5.539 b=5.539 c=15.387 alpha=90.00 beta=90.00 gamma=90.00
Space group I4_1/amd (No. 141, origin choice 2)
Symmetry-distinct sites (fractional):
K 0.000 0.250 0.375 [4 per cell]
Al 0.000 0.000 0.000 [8 per cell]
Cu 0.000 0.250 0.875 [4 per cell]

Calculated values
The uncorrected energy comes out at -2.8699 eV/atom. The energy above the most stable polymorph in this dataset is 296 meV/atom.

***

[8]
VASP calculation (PBE) on a relaxed KAlCu2 crystal.

Unit cell a=2.767 b=5.238 c=10.546 alpha=90.00 beta=90.00 gamma=90.00
Space group Imm2 (No. 44)
Symmetry-distinct sites (fractional):
K 0.000 0.000 0.000 [2 per cell]
Al 0.000 0.500 0.798 [2 per cell]
Cu 0.000 0.000 0.503 [2 per cell]
Cu 0.000 0.500 0.204 [2 per cell]

Calculated values
The uncorrected energy comes out at -2.9079 eV/atom.

***

Number 1: energy of formation from the pure elements 52.5 kJ per mole of atoms. Number 2: energy of formation from the pure elements -1.0 kJ per mole of atoms. Number 3: energy of formation from the pure elements 28.0 kJ per mole of atoms. Number 4: energy of formation from the pure elements 0.4 kJ per mole of atoms. Number 5: energy of formation from the pure elements 11.3 kJ per mole of atoms. Number 6: energy of formation from the pure elements 50.9 kJ per mole of atoms. Number 7: energy of formation from the pure elements 28.9 kJ per mole of atoms. Number 8: energy of formation from the pure elements 33.8 kJ per mole of atoms.